[1]
The following is a DFT calculation (PBE) of a geometry-optimized ScCdPt6 structure.

Output
* energy: -6.073 eV/atom
* symmetry: P4/mmm
* DFT formation energy: -491 kJ/mol of formula units

abc: 4.0170 4.0170 8.0731
angles: 90.00 90.00 90.00
Element x y z (fractional)
1 Sc 0.0000 0.0000 0.0000
2 Cd 0.0000 0.0000 0.5000
3 Pt 0.0000 0.5000 0.2449
4 Pt 0.0000 0.5000 0.7551
5 Pt 0.5000 0.0000 0.2449
6 Pt 0.5000 0.0000 0.7551
7 Pt 0.5000 0.5000 0.0000
8 Pt 0.5000 0.5000 0.5000



[2]
The following is a DFT calculation (PBE) of a geometry-optimized ScCdPt2 structure.

Output
* energy: -5.631 eV/atom
* symmetry: Cmmm
* DFT formation energy: -308 kJ/mol of formula units

abc: 4.4115 4.4115 3.6451
angles: 90.00 90.00 94.91
Element x y z (fractional)
1 Sc 0.0000 0.0000 0.0000
2 Cd 0.5000 0.5000 0.0000
3 Pt 0.0000 0.5000 0.5000
4 Pt 0.5000 0.0000 0.5000



[3]
The following is a DFT calculation (PBE) of a geometry-optimized Sc2CdPt2 structure.

Output
* energy: -5.806 eV/atom
* symmetry: I4/mmm
* DFT formation energy: -325 kJ/mol of formula units

abc: 7.4923 7.4923 7.4923
angles: 149.77 149.77 43.29
Element x y z (fractional)
1 Sc 0.1181 0.1181 0.0000
2 Sc 0.8819 0.8819 0.0000
3 Cd 0.5000 0.5000 0.0000
4 Pt 0.2500 0.7500 0.5000
5 Pt 0.7500 0.2500 0.5000



[4]
The following is a DFT calculation (PBE) of a geometry-optimized ScCd3Pt structure.

Output
* energy: -1.899 eV/atom
* symmetry: Pm-3m
* DFT formation energy: 543 kJ/mol of formula units
* offset from the most stable computed form: 0.9672 eV/atom

abc: 5.4005 5.4005 5.4005
angles: 90.00 90.00 90.00
Element x y z (fractional)
1 Sc 0.0000 0.0000 0.0000
2 Cd 0.0000 0.0000 0.5000
3 Cd 0.0000 0.5000 0.0000
4 Cd 0.5000 0.0000 0.0000
5 Pt 0.5000 0.5000 0.5000



[5]
The following is a DFT calculation (PBE) of a geometry-optimized ScCd3Pt structure.

Output
* energy: -2.866 eV/atom
* symmetry: Pm-3m
* DFT formation energy: 76 kJ/mol of formula units
* offset from the most stable computed form: 0.0000 eV/atom

abc: 5.1251 5.1251 5.1251
angles: 90.00 90.00 90.00
Element x y z (fractional)
1 Sc 0.0000 0.0000 0.0000
2 Cd 0.0000 0.5000 0.5000
3 Cd 0.5000 0.0000 0.5000
4 Cd 0.5000 0.5000 0.0000
5 Pt 0.5000 0.5000 0.5000



[6]
The following is a DFT calculation (PBE) of a geometry-optimized Sc4CdPt3 structure.

Output
* energy: -6.536 eV/atom
* symmetry: P4/mmm
* DFT formation energy: -764 kJ/mol of formula units

abc: 4.7475 4.7475 6.6691
angles: 90.00 90.00 90.00
Element x y z (fractional)
1 Sc 0.0000 0.5000 0.2386
2 Sc 0.0000 0.5000 0.7614
3 Sc 0.5000 0.0000 0.2386
4 Sc 0.5000 0.0000 0.7614
5 Cd 0.0000 0.0000 0.5000
6 Pt 0.0000 0.0000 0.0000
7 Pt 0.5000 0.5000 0.0000
8 Pt 0.5000 0.5000 0.5000



[7]
The following is a DFT calculation (PBE) of a geometry-optimized Sc2CdPt structure.

Output
* energy: -5.680 eV/atom
* symmetry: P4/mmm
* DFT formation energy: -299 kJ/mol of formula units

abc: 3.3614 3.3614 7.0925
angles: 90.00 90.00 90.00
Element x y z (fractional)
1 Sc 0.0000 0.0000 0.2225
2 Sc 0.0000 0.0000 0.7775
3 Cd 0.5000 0.5000 0.5000
4 Pt 0.5000 0.5000 0.0000



[8]
The following is a DFT calculation (PBE) of a geometry-optimized Sc2CdPt structure.

Output
* energy: -5.201 eV/atom
* symmetry: R3m
* DFT formation energy: -114 kJ/mol of formula units

abc: 9.3937 9.3937 9.3937
angles: 20.41 20.41 20.41
Element x y z (fractional)
1 Sc 0.0000 0.0000 0.0000
2 Sc 0.2333 0.2333 0.2333
3 Cd 0.4776 0.4776 0.4776
4 Pt 0.7321 0.7321 0.7321



- Which value of energy does entry 7 give?
  -5.680 eV/atom